# Sc2PaIn3 PBE optimized geometry
data_Sc2PaIn3
_cell_length_a 3.165
_cell_length_b 3.165
_cell_length_c 13.874
_cell_angle_alpha 90.00
_cell_angle_beta 90.00
_cell_angle_gamma 90.00
_symmetry_space_group_name_H-M 'P 4/m m m'
_symmetry_Int_Tables_number 123
_symmetry_space_group_name_Hall '-P 4 2'
loop_
_atom_site_label
_atom_site_fract_x
_atom_site_fract_y
_atom_site_fract_z
Sc1 0.000 0.000 0.161
Pa1 0.000 0.000 0.500
In1 0.500 0.500 0.000
In2 0.500 0.500 0.320
# Volume: 23.2 Å³ per atom
# Total moment: 1.42 μB/f.u.
# Density of states at the Fermi level: 1.166 states/eV per atom
# Crystal system: tetragonal
# Energy relative to the elements: -0.2899 eV/atom